--- i ---
DFT (GGA-PBE) results for an optimized crystal structure of Sn6Ir3Rh.

It has space group P2_1/m (No. 11), with a = 11.747 Å, b = 3.117 Å, c = 12.619 Å, α = 90.00°, β = 113.27° and γ = 90.00°. Symmetry generates all atoms from Sn at (0.041, 0.250, 0.402), Sn at (0.154, 0.750, 0.968), Sn at (0.215, 0.750, 0.229), Sn at (0.241, 0.250, 0.767), Sn at (0.382, 0.250, 0.538), Sn at (0.447, 0.250, 0.142), Ir at (0.016, 0.250, 0.786), Ir at (0.380, 0.750, 0.949), Ir at (0.413, 0.250, 0.335) and Rh at (0.199, 0.750, 0.576).

=====

--- ii ---
DFT (GGA-PBE) results for an optimized crystal structure of Sn6Ir3Rh.

It has space group P2_1/c (No. 14), with a = 7.133 Å, b = 6.529 Å, c = 10.768 Å, α = 90.00°, β = 123.31° and γ = 90.00°. Symmetry generates all atoms from Sn at (0.079, 0.008, 0.269), Sn at (0.255, 0.163, 0.595), Sn at (0.396, 0.644, 0.566), Ir at (0.000, 0.000, 0.000), Ir at (0.294, 0.663, 0.268) and Rh at (0.500, 0.000, 0.500).

=====

Energies relative to the most stable structure, in eV/atom: i 0.046; ii 0.000.

=====

--- i ---
DFT (GGA-PBE) results for an optimized crystal structure of Sr2Ir2Rh.

It has space group Immm (No. 71), with a = 4.749 Å, b = 5.018 Å, c = 9.700 Å, α = 90.00°, β = 90.00° and γ = 90.00°. Symmetry generates all atoms from Sr at (0.000, 0.000, 0.193), Ir at (0.000, 0.253, 0.500) and Rh at (0.000, 0.500, 0.000).

=====

--- ii ---
DFT (GGA-PBE) results for an optimized crystal structure of Sr2Ir2Rh.

It has space group C2/c (No. 15), with a = 8.973 Å, b = 5.859 Å, c = 8.866 Å, α = 90.00°, β = 100.14° and γ = 90.00°. Symmetry generates all atoms from Sr at (0.152, 0.122, 0.159), Ir at (0.127, 0.375, 0.502) and Rh at (0.000, 0.405, 0.750).

=====

--- iii ---
DFT (GGA-PBE) results for an optimized crystal structure of Sr2Ir2Rh.

It has space group P4/mbm (No. 127), with a = 6.824 Å, b = 6.824 Å, c = 4.834 Å, α = 90.00°, β = 90.00° and γ = 90.00°. Symmetry generates all atoms from Sr at (0.181, 0.319, 0.000), Ir at (0.126, 0.626, 0.500) and Rh at (0.000, 0.000, 0.500).

=====

Energies relative to the most stable structure, in eV/atom: i 0.000; ii 0.094; iii 0.210.

=====

--- i ---
DFT (GGA-PBE) results for an optimized crystal structure of SrIrRh3.

It has space group Pm-3m (No. 221), with a = 4.803 Å, b = 4.803 Å, c = 4.803 Å, α = 90.00°, β = 90.00° and γ = 90.00°. Symmetry generates all atoms from Sr at (0.000, 0.000, 0.000), Ir at (0.500, 0.500, 0.500) and Rh at (0.000, 0.000, 0.500).

=====

--- ii ---
DFT (GGA-PBE) results for an optimized crystal structure of SrIrRh3.

It has space group Pm-3m (No. 221), with a = 4.820 Å, b = 4.820 Å, c = 4.820 Å, α = 90.00°, β = 90.00° and γ = 90.00°. Symmetry generates all atoms from Sr at (0.000, 0.000, 0.000), Ir at (0.500, 0.500, 0.500) and Rh at (0.000, 0.500, 0.500).

=====

Energies relative to the most stable structure, in eV/atom: i 1.781; ii 0.000.

=====

--- i ---
DFT (GGA-PBE) results for an optimized crystal structure of Sr2IrRh2.

It has space group P4/mbm (No. 127), with a = 8.219 Å, b = 8.219 Å, c = 3.163 Å, α = 90.00°, β = 90.00° and γ = 90.00°. Symmetry generates all atoms from Sr at (0.139, 0.361, 0.000), Ir at (0.000, 0.000, 0.000) and Rh at (0.170, 0.670, 0.500).

=====

--- ii ---
DFT (GGA-PBE) results for an optimized crystal structure of Sr2IrRh2.

It has space group I4/mmm (No. 139), with a = 3.582 Å, b = 3.582 Å, c = 18.320 Å, α = 90.00°, β = 90.00° and γ = 90.00°. Symmetry generates all atoms from Sr at (0.000, 0.000, 0.100), Ir at (0.000, 0.000, 0.500) and Rh at (0.000, 0.500, 0.250).

=====

Energies relative to the most stable structure, in eV/atom: i 0.526; ii 0.000.

=====

--- i ---
DFT (GGA-PBE) results for an optimized crystal structure of Sr2IrRh2.

It has space group Immm (No. 71), with a = 4.505 Å, b = 5.299 Å, c = 9.572 Å, α = 90.00°, β = 90.00° and γ = 90.00°. Symmetry generates all atoms from Sr at (0.000, 0.000, 0.198), Ir at (0.000, 0.500, 0.000) and Rh at (0.000, 0.257, 0.500).

=====

--- ii ---
DFT (GGA-PBE) results for an optimized crystal structure of Sr2IrRh2.

It has space group P4/mbm (No. 127), with a = 6.809 Å, b = 6.809 Å, c = 4.774 Å, α = 90.00°, β = 90.00° and γ = 90.00°. Symmetry generates all atoms from Sr at (0.182, 0.318, 0.000), Ir at (0.000, 0.000, 0.500) and Rh at (0.133, 0.633, 0.500).

=====

Energies relative to the most stable structure, in eV/atom: i 0.000; ii 0.138.

=====

--- i ---
DFT (GGA-PBE) results for an optimized crystal structure of TaIrRh2.

It has space group Cmmm (No. 65), with a = 5.500 Å, b = 7.781 Å, c = 2.813 Å, α = 90.00°, β = 90.00° and γ = 90.00°. Symmetry generates all atoms from Ta at (0.000, 0.000, 0.000), Ir at (0.000, 0.500, 0.000) and Rh at (0.250, 0.250, 0.500).

=====

--- ii ---
DFT (GGA-PBE) results for an optimized crystal structure of TaIrRh2.

It has space group F-43m (No. 216), with a = 6.270 Å, b = 6.270 Å, c = 6.270 Å, α = 90.00°, β = 90.00° and γ = 90.00°. Symmetry generates all atoms from Ta at (0.000, 0.000, 0.000), Ir at (0.250, 0.250, 0.750), Rh at (0.000, 0.000, 0.500) and Rh at (0.250, 0.250, 0.250).

=====

--- iii ---
DFT (GGA-PBE) results for an optimized crystal structure of TaIrRh2.

It has space group P4/mmm (No. 123), with a = 2.771 Å, b = 2.771 Å, c = 7.890 Å, α = 90.00°, β = 90.00° and γ = 90.00°. Symmetry generates all atoms from Ta at (0.000, 0.000, 0.000), Ir at (0.000, 0.000, 0.500) and Rh at (0.500, 0.500, 0.256).

=====

Energies relative to the most stable structure, in eV/atom: i 0.000; ii 0.214; iii 0.185.

=====

--- i ---
DFT (GGA-PBE) results for an optimized crystal structure of TaIr2Rh.

It has space group F-43m (No. 216), with a = 6.289 Å, b = 6.289 Å, c = 6.289 Å, α = 90.00°, β = 90.00° and γ = 90.00°. Symmetry generates all atoms from Ta at (0.000, 0.000, 0.000), Ir at (0.000, 0.000, 0.500), Ir at (0.250, 0.250, 0.250) and Rh at (0.250, 0.250, 0.750).

=====

--- ii ---
DFT (GGA-PBE) results for an optimized crystal structure of TaIr2Rh.

It has space group Cmmm (No. 65), with a = 5.546 Å, b = 7.753 Å, c = 2.826 Å, α = 90.00°, β = 90.00° and γ = 90.00°. Symmetry generates all atoms from Ta at (0.000, 0.000, 0.000), Ir at (0.250, 0.250, 0.500) and Rh at (0.000, 0.500, 0.000).

=====

--- iii ---
DFT (GGA-PBE) results for an optimized crystal structure of TaIr2Rh.

It has space group I-42d (No. 122), with a = 3.816 Å, b = 3.816 Å, c = 18.255 Å, α = 90.00°, β = 90.00° and γ = 90.00°. Symmetry generates all atoms from Ta at (0.000, 0.000, 0.000), Ir at (0.231, 0.250, 0.625) and Rh at (0.000, 0.000, 0.500).

=====

--- iv ---
DFT (GGA-PBE) results for an optimized crystal structure of TaIr2Rh.

It has space group I-4m2 (No. 119), with a = 3.924 Å, b = 3.924 Å, c = 7.861 Å, α = 90.00°, β = 90.00° and γ = 90.00°. Symmetry generates all atoms from Ta at (0.000, 0.000, 0.000), Ir at (0.000, 0.000, 0.500), Ir at (0.000, 0.500, 0.250) and Rh at (0.000, 0.500, 0.750).

=====

Energies relative to the most stable structure, in eV/atom: i 0.441; ii 0.096; iii 0.583; iv 0.000.

=====

--- i ---
DFT (GGA-PBE) results for an optimized crystal structure of TaIr2Rh.

It has space group R-3m (No. 166, hexagonal axes), with a = 2.7970 Å, b = 2.7970 Å, c = 27.1276 Å, α = 90.00°, β = 90.00° and γ = 120.00°. Symmetry generates all atoms from Ta at (0.0000, 0.0000, 0.0000), Ir at (0.0000, 0.0000, 0.2487) and Rh at (0.0000, 0.0000, 0.5000).

=====

--- ii ---
DFT (GGA-PBE) results for an optimized crystal structure of TaIr2Rh.

It has space group P4/mmm (No. 123), with a = 3.922 Å, b = 3.922 Å, c = 3.909 Å, α = 90.00°, β = 90.00° and γ = 90.00°. Symmetry generates all atoms from Ta at (0.000, 0.000, 0.000), Ir at (0.000, 0.500, 0.500) and Rh at (0.500, 0.500, 0.000).

=====

--- iii ---
DFT (GGA-PBE) results for an optimized crystal structure of TaIr2Rh.

It has space group P2/m (No. 10), with a = 4.769 Å, b = 2.818 Å, c = 4.778 Å, α = 90.00°, β = 109.20° and γ = 90.00°. Symmetry generates all atoms from Ta at (0.000, 0.000, 0.000), Ir at (0.000, 0.500, 0.500), Ir at (0.500, 0.000, 0.500) and Rh at (0.500, 0.500, 0.000).

=====

Energies relative to the most stable structure, in eV/atom: i 0.535; ii 0.000; iii 0.252.

=====

--- i ---
DFT (GGA-PBE) results for an optimized crystal structure of TaIr2Rh.

It has space group I4/mmm (No. 139), with a = 3.940 Å, b = 3.940 Å, c = 7.807 Å, α = 90.00°, β = 90.00° and γ = 90.00°. Symmetry generates all atoms from Ta at (0.000, 0.000, 0.000), Ir at (0.000, 0.500, 0.250) and Rh at (0.000, 0.000, 0.500).

=====

--- ii ---
DFT (GGA-PBE) results for an optimized crystal structure of TaIr2Rh.

It has space group P4/mmm (No. 123), with a = 2.786 Å, b = 2.786 Å, c = 7.857 Å, α = 90.00°, β = 90.00° and γ = 90.00°. Symmetry generates all atoms from Ta at (0.000, 0.000, 0.000), Ir at (0.500, 0.500, 0.255) and Rh at (0.000, 0.000, 0.500).

=====

--- iii ---
DFT (GGA-PBE) results for an optimized crystal structure of TaIr2Rh.

It has space group Pmm2 (No. 25), with a = 2.802 Å, b = 3.892 Å, c = 5.577 Å, α = 90.00°, β = 90.00° and γ = 90.00°. Symmetry generates all atoms from Ta at (0.000, 0.000, 0.000), Ir at (0.000, 0.000, 0.501), Ir at (0.500, 0.500, 0.260) and Rh at (0.500, 0.500, 0.742).

=====

Energies relative to the most stable structure, in eV/atom: i 0.000; ii 0.240; iii 0.137.

=====

--- i ---
DFT (GGA-PBE) results for an optimized crystal structure of TaIr2Rh.

It has space group Cm (No. 8), with a = 9.217 Å, b = 2.807 Å, c = 4.795 Å, α = 90.00°, β = 100.46° and γ = 90.00°. Symmetry generates all atoms from Ta at (0.000, 0.000, 0.000), Ir at (0.250, 0.500, 0.265), Ir at (0.497, 0.000, 0.497) and Rh at (0.250, 0.000, 0.751).

=====

--- ii ---
DFT (GGA-PBE) results for an optimized crystal structure of TaIr2Rh.

It has space group P4mm (No. 99), with a = 2.775 Å, b = 2.775 Å, c = 7.913 Å, α = 90.00°, β = 90.00° and γ = 90.00°. Symmetry generates all atoms from Ta at (0.000, 0.000, 0.000), Ir at (0.000, 0.000, 0.500), Ir at (0.500, 0.500, 0.259) and Rh at (0.500, 0.500, 0.747).

=====

--- iii ---
DFT (GGA-PBE) results for an optimized crystal structure of TaIr2Rh.

It has space group C2/m (No. 12), with a = 9.255 Å, b = 2.807 Å, c = 4.768 Å, α = 90.00°, β = 100.42° and γ = 90.00°. Symmetry generates all atoms from Ta at (0.000, 0.000, 0.000), Ir at (0.247, 0.500, 0.254) and Rh at (0.000, 0.500, 0.500).

=====

Energies relative to the most stable structure, in eV/atom: i 0.013; ii 0.116; iii 0.000.